# 1
VASP calculation (PBE-GGA) on Sr7Ca after structural relaxation.

Output
VASP energy: -1.713 eV per atom
Energy of formation from the pure elements: 0.01 eV/atom

Cell and atoms, written as extended XYZ:
```
8
Lattice="-2.351 -5.781 3.114 0.464 -4.127 -7.312 6.613 0.109 5.193" Properties=species:S:1:pos:R:3 pbc="T T T"
Ca 0.000 0.000 0.000
Sr 0.068 -4.234 0.002
Sr 3.307 0.053 2.596
Sr 3.388 -4.194 2.582
Sr 6.843 -1.955 1.537
Sr 0.302 -6.319 -3.692
Sr 3.643 -6.264 -1.069
Sr 3.539 -2.009 -1.058
```

=====

# 2
VASP calculation (PBE-GGA) on CeZrZnHg after structural relaxation.

Output
VASP energy: -4.235 eV per atom
Energy of formation from the pure elements: -0.22 eV/atom
ΔE to the lowest computed polymorph: 0 meV/atom

Cell and atoms, written as extended XYZ:
```
4
Lattice="3.183 0.000 0.000 0.000 3.183 0.000 0.000 0.000 8.628" Properties=species:S:1:pos:R:3 pbc="T T T"
Zr 0.000 0.000 4.782
Hg 1.592 1.592 6.934
Zn 1.592 1.592 2.937
Ce 0.000 0.000 0.746
```

=====

# 3
VASP calculation (PBE-GGA) on Li3ClO after structural relaxation.

Output
VASP energy: -3.406 eV per atom
ΔE to the lowest computed polymorph: 926 meV/atom

Cell and atoms, written as extended XYZ:
```
5
Lattice="-0.809 -2.701 3.207 -0.247 -3.230 -2.783 4.186 -0.713 0.455" Properties=species:S:1:pos:R:3 pbc="T T T"
Cl 0.000 0.000 0.000
Li 2.093 -0.356 0.228
Li -0.124 -1.615 -1.391
Li -0.404 -1.351 1.604
O 1.565 -3.322 0.440
```

=====

# 4
VASP calculation (PBE-GGA) on BaTl2Hg7 after structural relaxation.

Output
VASP energy: -1.007 eV per atom
Energy of formation from the pure elements: -0.13 eV/atom

Cell and atoms, written as extended XYZ:
```
10
Lattice="3.762 0.000 0.000 0.000 6.202 0.000 0.000 -3.101 13.130" Properties=species:S:1:pos:R:3 pbc="T T T"
Hg 0.000 0.000 4.919
Hg 1.881 3.101 0.000
Hg 1.881 1.554 2.733
Hg 1.881 4.648 2.733
Hg 0.000 3.101 8.211
Hg 1.881 1.547 10.396
Hg 1.881 -1.547 10.396
Tl 1.881 0.000 7.519
Tl 1.881 3.101 5.611
Ba 0.000 0.000 0.000
```

=====

# 5
VASP calculation (PBE-GGA) on GaSnO3 after structural relaxation.

Output
VASP energy: -5.267 eV per atom

Cell and atoms, written as extended XYZ:
```
5
Lattice="4.013 0.000 0.000 0.000 4.013 0.000 0.000 0.000 4.013" Properties=species:S:1:pos:R:3 pbc="T T T"
O 0.000 2.006 0.000
O 0.000 0.000 2.006
O 2.006 0.000 0.000
Sn 0.000 0.000 0.000
Ga 2.006 2.006 2.006
```

=====

# 6
VASP calculation (PBE-GGA) on Ce5HfAs6 after structural relaxation.

Output
VASP energy: -6.973 eV per atom
Energy of formation from the pure elements: -1.35 eV/atom

Cell and atoms, written as extended XYZ:
```
12
Lattice="7.098 0.176 1.080 1.747 6.016 3.508 0.121 0.064 7.178" Properties=species:S:1:pos:R:3 pbc="T T T"
As 2.144 1.469 1.095
As 6.701 4.723 3.493
As 2.784 3.681 4.661
As 6.182 2.575 7.105
As 5.580 0.630 3.393
As 3.386 5.626 8.373
Ce 0.625 2.034 3.549
Ce 3.928 1.158 5.865
Ce 1.244 4.047 7.137
Ce 4.423 3.096 2.294
Ce 5.039 5.098 5.901
Hf 0.000 0.000 0.000
```